PBE-GGA LiTbAgRh, optimized geometry; formation energy from the elements = -0.342 eV/atom; SG = F-43m; DOS(E_F) = 0.2 states/eV/cell; crystal system = cubic; density = 8.28 g/cm³
1.0
0.000 3.355 3.355
3.355 0.000 3.355
3.355 3.355 0.000
Li Tb Ag Rh
1 1 1 1
direct
0.000 0.000 0.000 Li
0.500 0.500 0.500 Tb
0.250 0.250 0.250 Ag
0.750 0.750 0.750 Rh

PBE-GGA Li2TcAgRh, optimized geometry; formation energy from the elements = 0.977 eV/atom; SG = P4/mmm; DOS(E_F) = 4.8 states/eV/cell; crystal system = tetragonal; density = 5.30 g/cm³
1.0
4.721 0.000 0.000
0.000 4.721 0.000
0.000 0.000 4.539
Li Tc Ag Rh
2 1 1 1
direct
0.000 0.500 0.000 Li
0.500 0.000 0.000 Li
0.000 0.000 0.000 Tc
0.500 0.500 0.500 Ag
0.000 0.000 0.500 Rh

PBE-GGA LiTlAgRh, optimized geometry; formation energy from the elements = -0.105 eV/atom; SG = F-43m; DOS(E_F) = 2.3 states/eV/cell; crystal system = cubic; density = 10.22 g/cm³
1.0
0.000 3.249 3.249
3.249 0.000 3.249
3.249 3.249 0.000
Li Tl Ag Rh
1 1 1 1
direct
0.000 0.000 0.000 Li
0.750 0.750 0.750 Tl
0.250 0.250 0.250 Ag
0.500 0.500 0.500 Rh

PBE-GGA Li3Tl3AgRh2, optimized geometry; formation energy from the elements = -0.136 eV/atom; SG = P-62m; DOS(E_F) = 2.5 states/eV/cell; crystal system = hexagonal; density = 9.78 g/cm³
1.0
7.713 0.000 0.000
-3.856 6.680 0.000
0.000 0.000 3.125
Li Tl Ag Rh
3 3 1 2
direct
0.000 0.290 0.000 Li
0.290 0.000 0.000 Li
0.710 0.710 0.000 Li
0.000 0.612 0.500 Tl
0.388 0.388 0.500 Tl
0.612 0.000 0.500 Tl
0.000 0.000 0.500 Ag
0.333 0.667 0.000 Rh
0.667 0.333 0.000 Rh

PBE-GGA LiZnAg2Rh, optimized geometry; formation energy from the elements = 0.705 eV/atom; SG = P4/mmm; DOS(E_F) = 3.6 states/eV/cell; crystal system = tetragonal; density = 6.77 g/cm³
1.0
4.722 0.000 0.000
0.000 4.722 0.000
0.000 0.000 4.303
Li Zn Ag Rh
1 1 2 1
direct
0.000 0.000 0.000 Li
0.000 0.000 0.500 Zn
0.000 0.500 0.500 Ag
0.500 0.000 0.500 Ag
0.500 0.500 0.000 Rh

PBE-GGA LiAgRu4, optimized geometry; formation energy from the elements = 0.590 eV/atom; SG = F-43m; DOS(E_F) = 8.8 states/eV/cell; crystal system = cubic; density = 9.03 g/cm³
1.0
0.000 3.627 3.627
3.627 0.000 3.627
3.627 3.627 0.000
Li Ag Ru
1 1 4
direct
0.000 0.000 0.000 Li
0.250 0.250 0.250 Ag
0.125 0.625 0.625 Ru
0.625 0.125 0.625 Ru
0.625 0.625 0.125 Ru
0.625 0.625 0.625 Ru

PBE-GGA LiAg2Ru, optimized geometry; formation energy from the elements = 0.289 eV/atom; SG = Pmm2; DOS(E_F) = 2.6 states/eV/cell; crystal system = orthorhombic; density = 8.39 g/cm³; excess energy over the best structure of this formula in the dataset = 111.2 meV/atom
1.0
2.648 0.000 0.000
0.000 4.299 0.000
0.000 0.000 5.626
Li Ag Ru
1 2 1
direct
0.000 0.000 0.000 Li
0.000 0.000 0.474 Ag
0.500 0.500 0.753 Ag
0.500 0.500 0.243 Ru

PBE-GGA LiAg2Ru, optimized geometry; formation energy from the elements = 0.229 eV/atom; SG = Cm; DOS(E_F) = 1.2 states/eV/cell; crystal system = monoclinic; density = 8.48 g/cm³; excess energy over the best structure of this formula in the dataset = 50.7 meV/atom
1.0
4.782 -1.331 0.000
4.782 1.331 0.000
-0.643 0.000 4.980
Li Ag Ru
1 2 1
direct
0.000 0.000 0.000 Li
0.504 0.504 0.523 Ag
0.753 0.753 0.240 Ag
0.251 0.251 0.745 Ru

Number 1: total magnetic moment 0.000 μB per atom. Number 2: total magnetic moment 0.235 μB per atom. Number 3: total magnetic moment 0.000 μB per atom. Number 4: total magnetic moment 0.000 μB per atom. Number 5: total magnetic moment 0.000 μB per atom. Number 6: total magnetic moment 0.407 μB per atom. Number 7: total magnetic moment 0.000 μB per atom. Number 8: total magnetic moment 0.000 μB per atom.